Entry from Alexandria: a relaxed KOs2I crystal (PBE).

## Properties
calculated total energy	-4.2085	eV/atom
formation energy without anion corrections	2.07	eV/atom
E above lowest polymorph	0.44	eV/f.u.

Geometry as CIF:
```
data_KOs2I
_chemical_formula_sum 'K4 Os8 I4'
_cell_length_a 6.714
_cell_length_b 6.714
_cell_length_c 6.714
_cell_angle_alpha 90.00
_cell_angle_beta 90.00
_cell_angle_gamma 90.00
_symmetry_space_group_name_H-M 'F m -3 m'
_symmetry_Int_Tables_number 225
_symmetry_space_group_name_Hall '-F 4 2 3'
loop_
_atom_site_label
_atom_site_type_symbol
_atom_site_fract_x
_atom_site_fract_y
_atom_site_fract_z
K1 K 0.000 0.000 0.000
Os1 Os 0.250 0.250 0.250
I1 I 0.000 0.000 0.500
```